No. 1
The following is a PBE calculation of a relaxed structure of Th2Bi2Te7, from Alexandria.

SG	Imm2, No. 44
E_form (uncorrected)	-0.69	eV/atom

Cell lengths 4.4641, 10.3513, 10.3513 Å; angles 56.63, 77.55, 77.55 degrees
Atoms (fractional coordinates):
Th (0.0000, 0.8052, 0.1948)
Th (0.5000, 0.3573, 0.6427)
Bi (0.7670, 0.7600, 0.7060)
Bi (0.2330, 0.2940, 0.2400)
Te (0.8145, 0.0667, 0.3043)
Te (0.8762, 0.4148, 0.8328)
Te (0.5000, 0.0287, 0.9713)
Te (0.5987, 0.5335, 0.2690)
Te (0.4013, 0.7310, 0.4665)
Te (0.1855, 0.6957, 0.9333)
Te (0.1238, 0.1672, 0.5852)



No. 2
The following is a PBE calculation of a relaxed structure of Cr3Rh, from Alexandria.

SG	Pmmn, No. 59
ΔE to the lowest computed polymorph	101	meV/atom

Cell lengths 4.0669, 4.7146, 5.2008 Å; angles 90.00, 90.00, 90.00 degrees
Atoms (fractional coordinates):
Cr (0.5000, 0.6623, 0.0000)
Cr (0.0000, 0.8595, 0.2331)
Cr (0.5000, 0.1405, 0.2669)
Cr (0.0000, 0.3377, 0.5000)
Cr (0.0000, 0.8595, 0.7669)
Cr (0.5000, 0.1405, 0.7331)
Rh (0.0000, 0.3430, 0.0000)
Rh (0.5000, 0.6570, 0.5000)



No. 3
The following is a PBE calculation of a relaxed structure of Ac2La6Tm, from Alexandria.

SG	P-6m2, No. 187
ΔE to the lowest computed polymorph	0	meV/atom

Cell lengths 3.7714, 3.7714, 27.9017 Å; angles 90.00, 90.00, 120.00 degrees
Atoms (fractional coordinates):
Ac (0.6667, 0.3333, 0.3274)
Ac (0.6667, 0.3333, 0.6726)
La (0.6667, 0.3333, 0.8980)
La (0.3333, 0.6667, 0.4388)
La (0.3333, 0.6667, 0.7885)
La (0.3333, 0.6667, 0.2115)
La (0.3333, 0.6667, 0.5612)
La (0.6667, 0.3333, 0.1020)
Tm (0.3333, 0.6667, 0.0000)



No. 4
The following is a PBE calculation of a relaxed structure of Pr8Co3PtBr4, from Alexandria.

SG	R-3m, No. 166
E_form (uncorrected)	-0.85	eV/atom

Cell lengths 8.2006, 9.1482, 8.2009 Å; angles 116.65, 120.00, 90.00 degrees
Atoms (fractional coordinates):
Pr (0.2383, 0.6941, 0.9565)
Pr (0.2381, 0.6939, 0.4761)
Pr (0.2685, 0.3061, 0.5370)
Pr (0.7182, 0.6941, 0.9565)
Pr (0.2818, 0.3059, 0.0435)
Pr (0.7315, 0.6939, 0.4630)
Pr (0.7619, 0.3061, 0.5239)
Pr (0.7617, 0.3059, 0.0435)
Co (0.5000, 0.5000, 0.0000)
Co (0.5000, 0.5000, 0.5000)
Co (0.0000, 0.5000, 0.5000)
Pt (0.0000, 0.5000, 0.0000)
Br (0.5000, 0.0000, 0.0000)
Br (0.5000, 0.0000, 0.5000)
Br (0.0000, 0.0000, 0.0000)
Br (0.0000, 0.0000, 0.5000)



Question: Number 4 is which compound?
Answer: Pr8Co3PtBr4